1.
{"formula": "LaTm2Cd", "functional": "PBE-GGA", "state": "relaxed", "delta_e_f_ev_per_atom": -0.037, "de_polymorph_mev_per_atom": 104, "cell": [[3.5922, 0.0000, 0.0000], [1.7961, 3.1110, 0.0000], [1.7961, 1.0370, 10.8891]], "species": ["Tm", "Tm", "Cd", "La"], "fractional_positions": [[0.2590, 0.2590, 0.2230], [0.0744, 0.0744, 0.7767], [0.6664, 0.6664, 0.0007], [0.5001, 0.5001, 0.4996]]}

2.
{"formula": "ZnTcNi2", "functional": "PBE-GGA", "state": "relaxed", "delta_e_f_ev_per_atom": -0.130, "cell": [[-0.0567, -1.0751, 2.3945], [-0.6338, -2.3186, -1.0560], [6.9669, -1.6434, -0.5728]], "species": ["Tc", "Ni", "Ni", "Zn"], "fractional_positions": [[0.5000, 0.5000, 0.5000], [0.0000, 0.0000, 0.7535], [0.0000, 0.0000, 0.2465], [0.5000, 0.5000, 0.0000]]}

3.
{"formula": "VCoS2Cl", "functional": "PBE-GGA", "state": "relaxed", "formation_energy_uncorrected_kj_per_mol_atoms": 44.2, "de_polymorph_mev_per_atom": 215, "cell": [[4.4683, 0.0000, 0.0000], [0.0000, 4.4683, 0.0000], [0.0000, 0.0000, 4.3432]], "species": ["S", "S", "V", "Cl", "Co"], "fractional_positions": [[0.5000, 0.0000, 0.0000], [0.0000, 0.5000, 0.0000], [0.5000, 0.5000, 0.5000], [0.0000, 0.0000, 0.5000], [0.0000, 0.0000, 0.0000]]}

4.
{"formula": "Dy8NiTe4Se3", "functional": "PBE-GGA", "state": "relaxed", "formation_energy_uncorrected_kj_per_mol_atoms": -134.1, "cell": [[-3.3277, -7.0219, 3.1348], [7.4595, -4.0028, -1.0477], [-0.2705, 7.1059, 4.4317]], "species": ["Dy", "Dy", "Dy", "Dy", "Dy", "Dy", "Dy", "Dy", "Te", "Te", "Te", "Te", "Se", "Se", "Se", "Ni"], "fractional_positions": [[0.2257, 0.7133, 0.4515], [0.2587, 0.2763, 0.5174], [0.2255, 0.7132, 0.9876], [0.7621, 0.7132, 0.9876], [0.2379, 0.2868, 0.0124], [0.7413, 0.7237, 0.4826], [0.7745, 0.2868, 0.0124], [0.7743, 0.2867, 0.5485], [0.5000, 0.0000, 0.5000], [0.5000, 0.0000, 0.0000], [0.0000, 0.0000, 0.5000], [0.0000, 0.0000, 0.0000], [0.5000, 0.5000, 0.0000], [0.0000, 0.5000, 0.5000], [0.5000, 0.5000, 0.5000], [0.0000, 0.5000, 0.0000]]}

5.
{"formula": "Pm12Nd5Cd2", "functional": "PBE-GGA", "state": "relaxed", "delta_e_f_ev_per_atom": 0.032, "cell": [[9.3421, 0.0000, 0.0000], [-4.6710, 7.8252, 1.0115], [0.0000, -1.6105, 8.4812]], "species": ["Nd", "Nd", "Nd", "Nd", "Nd", "Cd", "Cd", "Pm", "Pm", "Pm", "Pm", "Pm", "Pm", "Pm", "Pm", "Pm", "Pm", "Pm", "Pm"], "fractional_positions": [[0.2993, 0.5985, 0.9775], [0.7007, 0.4015, 0.0225], [0.2327, 0.4654, 0.5731], [0.7673, 0.5346, 0.4269], [0.0000, 0.0000, 0.5000], [0.6682, 0.0000, 0.0000], [0.3318, 0.0000, 0.0000], [0.3279, 0.2877, 0.2364], [0.4441, 0.8883, 0.6689], [0.5559, 0.1117, 0.3311], [0.9238, 0.8476, 0.1182], [0.0401, 0.7123, 0.7636], [0.0762, 0.1524, 0.8818], [0.6721, 0.7123, 0.7636], [0.9599, 0.2877, 0.2364], [0.5666, 0.7457, 0.3210], [0.1791, 0.7457, 0.3210], [0.8209, 0.2543, 0.6790], [0.4334, 0.2543, 0.6790]]}

6.
{"formula": "CsNaTi2Br8", "functional": "PBE-GGA", "state": "relaxed", "formation_energy_uncorrected_kj_per_mol_atoms": -126.0, "cell": [[-0.8198, -4.5397, 5.4681], [2.3470, -6.7350, -0.5596], [9.6458, -0.8862, 5.3903]], "species": ["Ti", "Ti", "Na", "Br", "Br", "Br", "Br", "Br", "Br", "Br", "Br", "Cs"], "fractional_positions": [[0.7485, 0.7485, 0.7544], [0.2515, 0.2515, 0.2456], [0.0000, 0.0000, 0.0000], [0.5948, 0.2853, 0.1765], [0.4052, 0.7147, 0.8235], [0.8271, 0.8271, 0.5187], [0.7147, 0.0567, 0.8235], [0.9433, 0.5948, 0.1765], [0.2853, 0.9433, 0.1765], [0.1729, 0.1729, 0.4813], [0.0567, 0.4052, 0.8235], [0.5000, 0.5000, 0.5000]]}

7.
{"formula": "Ce2NpP3Pt4", "functional": "PBE-GGA", "state": "relaxed", "delta_e_f_ev_per_atom": -0.845, "cell": [[4.1003, 0.0000, 0.0000], [0.0000, 4.1003, 0.0000], [0.0000, 0.0000, 11.4911]], "species": ["P", "P", "P", "Pt", "Pt", "Pt", "Pt", "Ce", "Ce", "Np"], "fractional_positions": [[0.0000, 0.0000, 0.5000], [0.0000, 0.5000, 0.1208], [0.5000, 0.0000, 0.8792], [0.5000, 0.5000, 0.0000], [0.0000, 0.0000, 0.0000], [0.0000, 0.5000, 0.3251], [0.5000, 0.0000, 0.6749], [0.0000, 0.5000, 0.7766], [0.5000, 0.0000, 0.2234], [0.5000, 0.5000, 0.5000]]}

8.
{"formula": "YScNi2Rh", "functional": "PBE-GGA", "state": "relaxed", "delta_e_f_ev_per_atom": 0.900, "de_polymorph_mev_per_atom": 710, "cell": [[-3.7406, -1.0297, 1.8626], [2.3490, -4.1699, 2.4122], [0.9857, 2.4999, 3.3616]], "species": ["Ni", "Ni", "Rh", "Y", "Sc"], "fractional_positions": [[0.5000, 0.0000, 0.0000], [0.0000, 0.0000, 0.5000], [0.5000, 0.5000, 0.5000], [0.0000, 0.5000, 0.0000], [0.0000, 0.0000, 0.0000]]}